(1)
RbNi3As5: optimized geometry, GGA-PBE.

a = 5.081 Å, b = 5.081 Å, c = 8.417 Å
α = 90.00°, β = 90.00°, γ = 120.00°
Fractional coordinates of all 9 atoms:
As1 0.333 0.667 0.270
As2 0.333 0.667 0.730
As3 0.000 0.000 0.500
As4 0.667 0.333 0.270
As5 0.667 0.333 0.730
Ni1 0.500 0.000 0.500
Ni2 0.000 0.500 0.500
Ni3 0.500 0.500 0.500
Rb1 0.000 0.000 0.000

Energy ... -43.02 eV/cell
Total magnetic moment ... 0.020 μB/cell
Space-group type ... P6/mmm (191)

---

(2)
Rb2NiAs2: optimized geometry, GGA-PBE.

a = 8.013 Å, b = 8.013 Å, c = 5.992 Å
α = 90.00°, β = 90.00°, γ = 128.64°
Fractional coordinates of all 10 atoms:
Rb1 0.591 0.409 0.750
Rb2 0.209 0.791 0.750
Rb3 0.791 0.209 0.250
Rb4 0.409 0.591 0.250
Ni1 0.000 0.000 0.500
Ni2 0.000 0.000 0.000
As1 0.272 0.081 0.250
As2 0.919 0.728 0.250
As3 0.081 0.272 0.750
As4 0.728 0.919 0.750

Energy ... -37.68 eV/cell
Total magnetic moment ... 0.001 μB/cell
Space-group type ... Cmcm (63)

---

(3)
Rb2Ni3As2: optimized geometry, GGA-PBE.

a = 9.173 Å, b = 9.173 Å, c = 9.173 Å
α = 29.63°, β = 29.63°, γ = 29.63°
Fractional coordinates of all 7 atoms:
Ni1 0.336 0.336 0.336
Ni2 0.894 0.894 0.894
Ni3 0.629 0.629 0.629
Rb1 0.234 0.234 0.234
Rb2 0.760 0.760 0.760
As1 0.986 0.986 0.986
As2 0.535 0.535 0.535

Energy ... -24.79 eV/cell
Total magnetic moment ... 0.117 μB/cell
Space-group type ... R3m (160)

---

(4)
ReNiAs2: optimized geometry, GGA-PBE.

a = 6.228 Å, b = 3.240 Å, c = 11.776 Å
α = 90.00°, β = 90.00°, γ = 90.00°
Fractional coordinates of all 16 atoms:
Ni1 0.051 0.250 0.090
Ni2 0.551 0.250 0.410
Ni3 0.449 0.750 0.590
Ni4 0.949 0.750 0.910
As1 0.805 0.750 0.474
As2 0.823 0.750 0.190
As3 0.323 0.750 0.310
As4 0.195 0.250 0.526
As5 0.695 0.250 0.974
As6 0.677 0.250 0.690
As7 0.177 0.250 0.810
As8 0.305 0.750 0.026
Re1 0.485 0.250 0.166
Re2 0.985 0.250 0.334
Re3 0.515 0.750 0.834
Re4 0.015 0.750 0.666

Energy ... -108.54 eV/cell
Total magnetic moment ... 0.010 μB/cell
Space-group type ... Pnma (62)

---

(5)
TaReNiAs: optimized geometry, GGA-PBE.

a = 4.414 Å, b = 4.414 Å, c = 4.414 Å
α = 60.00°, β = 60.00°, γ = 60.00°
Fractional coordinates of all 4 atoms:
Ta1 0.250 0.250 0.250
As1 0.000 0.000 0.000
Ni1 0.750 0.750 0.750
Re1 0.500 0.500 0.500

Energy ... -33.13 eV/cell
Total magnetic moment ... 0.902 μB/cell
Space-group type ... F-43m (216)

---

(6)
ReTcNiAs: optimized geometry, GGA-PBE.

a = 4.298 Å, b = 4.298 Å, c = 4.298 Å
α = 60.00°, β = 60.00°, γ = 60.00°
Fractional coordinates of all 4 atoms:
Ni1 0.750 0.750 0.750
As1 0.000 0.000 0.000
Re1 0.500 0.500 0.500
Tc1 0.250 0.250 0.250

Energy ... -31.52 eV/cell
Total magnetic moment ... 0.059 μB/cell
Space-group type ... F-43m (216)

---

(7)
NiAs2S4: optimized geometry, GGA-PBE.

a = 7.208 Å, b = 7.208 Å, c = 7.208 Å
α = 60.00°, β = 60.00°, γ = 60.00°
Site moments in Bohr magnetons follow the coordinates.
Fractional coordinates of all 14 atoms:
S1 0.876 0.876 0.876  0.07
S2 0.876 0.371 0.876  0.08
S3 0.374 0.374 0.879  0.07
S4 0.876 0.876 0.371  0.07
S5 0.374 0.374 0.374  0.07
S6 0.374 0.879 0.374  0.08
S7 0.371 0.876 0.876  0.04
S8 0.879 0.374 0.374  0.04
As1 0.625 0.625 0.625  0.01
As2 0.625 0.625 0.125  0.01
As3 0.125 0.625 0.625  0.03
As4 0.625 0.125 0.625  0.01
Ni1 0.250 0.250 0.250  0.54
Ni2 0.000 0.000 0.000  0.55

Energy ... -63.70 eV/cell
Total magnetic moment ... 1.999 μB/cell
Space-group type ... Fd-3m (227)

---

(8)
Ni2SbAs3: optimized geometry, GGA-PBE.

a = 4.902 Å, b = 3.642 Å, c = 5.970 Å
α = 90.00°, β = 91.41°, γ = 90.00°
Fractional coordinates of all 6 atoms:
As1 0.205 0.500 0.369
As2 0.719 0.000 0.145
As3 0.795 0.500 0.627
Ni1 0.981 0.500 0.008
Ni2 0.507 0.000 0.488
Sb1 0.292 0.000 0.863

Energy ... -30.57 eV/cell
Total magnetic moment ... 0.004 μB/cell
Space-group type ... Pm (6)